# 1
# PBE-GGA KPmHgSe3, relaxed
data_KPmHgSe3
_chemical_formula_sum 'K2 Pm2 Hg2 Se6'
_space_group_name_H-M_alt 'P 1 21/m 1'
_space_group_IT_number 11
_space_group_name_Hall '-P 2yb'
_cell_length_a 8.938
_cell_length_b 4.334
_cell_length_c 10.265
_cell_angle_alpha 90.00
_cell_angle_beta 105.99
_cell_angle_gamma 90.00
loop_
_atom_site_label
_atom_site_fract_x
_atom_site_fract_y
_atom_site_fract_z
K1 0.214 0.250 0.239
Pm1 0.326 0.750 0.861
Hg1 0.094 0.250 0.612
Se1 0.096 0.250 0.870
Se2 0.236 0.750 0.539
Se3 0.457 0.750 0.152
# Formation energy (no corrections), eV/atom: -1.19

---

# 2
# PBE-GGA SbOsRu2, relaxed
data_SbOsRu2
_chemical_formula_sum 'Sb2 Os2 Ru4'
_space_group_name_H-M_alt 'I m m 2'
_space_group_IT_number 44
_space_group_name_Hall 'I 2 -2'
_cell_length_a 3.051
_cell_length_b 4.500
_cell_length_c 9.185
_cell_angle_alpha 90.00
_cell_angle_beta 90.00
_cell_angle_gamma 90.00
loop_
_atom_site_label
_atom_site_fract_x
_atom_site_fract_y
_atom_site_fract_z
Sb1 0.000 0.000 0.000
Os1 0.000 0.500 0.730
Ru1 0.000 0.000 0.495
Ru2 0.000 0.500 0.275
# Formation energy (no corrections), eV/atom: 0.43

---

# 3
# PBE-GGA Sr4GeAsI2, relaxed
data_Sr4GeAsI2
_chemical_formula_sum 'Sr4 Ge1 As1 I2'
_space_group_name_H-M_alt 'P 1 2/m 1'
_space_group_IT_number 10
_space_group_name_Hall '-P 2y'
_cell_length_a 8.134
_cell_length_b 4.517
_cell_length_c 8.519
_cell_angle_alpha 90.00
_cell_angle_beta 107.77
_cell_angle_gamma 90.00
loop_
_atom_site_label
_atom_site_fract_x
_atom_site_fract_y
_atom_site_fract_z
Sr1 0.232 0.000 0.199
Sr2 0.256 0.500 0.792
Ge1 0.500 0.000 0.000
As1 0.000 0.500 0.000
I1 0.000 0.000 0.500
I2 0.500 0.500 0.500
# Formation energy (no corrections), eV/atom: -1.17

---

# 4
# PBE-GGA Ti10As3P3, relaxed
data_Ti10As3P3
_chemical_formula_sum 'Ti10 As3 P3'
_space_group_name_H-M_alt 'P -6 2 m'
_space_group_IT_number 189
_space_group_name_Hall 'P -6 -2'
_cell_length_a 7.4030
_cell_length_b 7.4030
_cell_length_c 5.1363
_cell_angle_alpha 90.00
_cell_angle_beta 90.00
_cell_angle_gamma 120.00
loop_
_atom_site_label
_atom_site_fract_x
_atom_site_fract_y
_atom_site_fract_z
Ti1 0.0000 0.2551 0.0000
Ti2 0.0000 0.7424 0.5000
Ti3 0.3333 0.6667 0.2552
As1 0.0000 0.6128 0.0000
P1 0.0000 0.3821 0.5000
# Energy of formation, meV per atom: -979.1

---

# 5
# PBE-GGA Ti2CuS6, relaxed
data_Ti2CuS6
_chemical_formula_sum 'Ti4 Cu2 S12'
_space_group_name_H-M_alt 'P 42/m n m'
_space_group_IT_number 136
_space_group_name_Hall '-P 4n 2n'
_cell_length_a 5.744
_cell_length_b 5.744
_cell_length_c 10.430
_cell_angle_alpha 90.00
_cell_angle_beta 90.00
_cell_angle_gamma 90.00
loop_
_atom_site_label
_atom_site_fract_x
_atom_site_fract_y
_atom_site_fract_z
Ti1 0.000 0.000 0.159
Cu1 0.000 0.000 0.500
S1 0.197 0.197 0.330
S2 0.202 0.202 0.000
# Formation energy (no corrections), eV/atom: -0.64

---

# 6
# PBE-GGA Ce2TiHg, relaxed
data_Ce2TiHg
_chemical_formula_sum 'Ce2 Ti1 Hg1'
_space_group_name_H-M_alt 'P 4/m m m'
_space_group_IT_number 123
_space_group_name_Hall '-P 4 2'
_cell_length_a 4.317
_cell_length_b 4.317
_cell_length_c 4.963
_cell_angle_alpha 90.00
_cell_angle_beta 90.00
_cell_angle_gamma 90.00
loop_
_atom_site_label
_atom_site_fract_x
_atom_site_fract_y
_atom_site_fract_z
Ce1 0.000 0.500 0.000
Ti1 0.000 0.000 0.500
Hg1 0.500 0.500 0.500
# Relative energy among the computed polymorphs, eV/atom: 0.0163
# Energy of formation, meV per atom: -2.6

---

no.,mass density (Mg/m³),magnetic moment (μB per cell)
1,5.40,0.0
2,13.54,0.0
3,4.19,0.5
4,5.42,0.0
5,3.39,0.0
6,9.49,1.5